[1]
{"formula": "LaCrSi", "functional": "PBE", "state": "optimized geometry", "spacegroup": "F-43m, No. 216", "n_ef_per_ev_atom": 0.83, "magmom_total_mub_per_atom": 1.596, "raw_formation_energy_ev_per_atom": 0.09, "lattice": [[0.000, 3.310, 3.310], [3.310, 0.000, 3.310], [3.310, 3.310, 0.000]], "species": ["La", "Cr", "Si"], "fractional_positions": [[0.000, 0.000, 0.000], [0.750, 0.750, 0.750], [0.500, 0.500, 0.500]]}

***

[2]
{"formula": "La2PrSm7", "functional": "PBE", "state": "optimized geometry", "spacegroup": "Cmmm, No. 65", "n_ef_per_ev_atom": 1.76, "magmom_total_mub_per_atom": 0.000, "relative_energy_ev_per_fu": 1.32, "lattice": [[3.387, -14.789, 0.000], [3.387, 14.789, 0.000], [0.000, 0.000, 3.510]], "species": ["La", "La", "Pr", "Sm", "Sm", "Sm", "Sm", "Sm", "Sm", "Sm"], "fractional_positions": [[0.204, 0.796, 0.000], [0.796, 0.204, 0.000], [0.500, 0.500, 0.500], [0.000, 0.000, 0.000], [0.154, 0.352, 0.000], [0.313, 0.687, 0.500], [0.352, 0.154, 0.000], [0.648, 0.846, 0.000], [0.687, 0.313, 0.500], [0.846, 0.648, 0.000]]}

***

[3]
{"formula": "CuAgN2F", "functional": "PBE", "state": "optimized geometry", "spacegroup": "P4/mmm, No. 123", "n_ef_per_ev_atom": 0.67, "magmom_total_mub_per_atom": 0.419, "raw_formation_energy_ev_per_atom": 0.99, "relative_energy_ev_per_fu": 0.00, "lattice": [[3.685, 0.000, 0.000], [0.000, 3.685, 0.000], [0.000, 0.000, 4.569]], "species": ["Cu", "Ag", "N", "N", "F"], "fractional_positions": [[0.000, 0.000, 0.000], [0.500, 0.500, 0.500], [0.000, 0.500, 0.000], [0.500, 0.000, 0.000], [0.000, 0.000, 0.500]]}

***

[4]
{"formula": "CaAcBr", "functional": "PBE", "state": "optimized geometry", "spacegroup": "P3m1, No. 156", "n_ef_per_ev_atom": 0.62, "magmom_total_mub_per_atom": 0.017, "raw_formation_energy_ev_per_atom": -0.85, "lattice": [[3.986, 0.000, 0.000], [-1.993, 3.452, 0.000], [0.000, 0.000, 7.981]], "species": ["Ca", "Ac", "Br"], "fractional_positions": [[0.000, 0.000, 0.000], [0.333, 0.667, 0.600], [0.667, 0.333, 0.274]]}

***

[5]
{"formula": "SrZr2Zn", "functional": "PBE", "state": "optimized geometry", "energy_ev_per_atom": -4.302, "spacegroup": "I-42d, No. 122", "n_ef_per_ev_atom": 1.15, "magmom_total_mub_per_atom": 0.000, "lattice": [[-2.510, 2.510, 10.365], [2.510, -2.510, 10.365], [2.510, 2.510, -10.365]], "species": ["Sr", "Sr", "Zr", "Zr", "Zr", "Zr", "Zn", "Zn"], "fractional_positions": [[0.000, 0.000, 0.000], [0.750, 0.250, 0.500], [0.338, 0.625, 0.213], [0.375, 0.588, 0.713], [0.412, 0.125, 0.787], [0.875, 0.662, 0.287], [0.250, 0.750, 0.500], [0.500, 0.500, 0.000]]}

***

[6]
{"formula": "Ca2SnBi", "functional": "PBE", "state": "optimized geometry", "spacegroup": "Fm-3m, No. 225", "n_ef_per_ev_atom": 0.60, "magmom_total_mub_per_atom": 0.000, "relative_energy_ev_per_fu": 0.18, "lattice": [[0.000, 3.930, 3.930], [3.930, 0.000, 3.930], [3.930, 3.930, 0.000]], "species": ["Ca", "Ca", "Sn", "Bi"], "fractional_positions": [[0.250, 0.250, 0.250], [0.750, 0.750, 0.750], [0.000, 0.000, 0.000], [0.500, 0.500, 0.500]]}

***

[7]
{"formula": "BaSiAu", "functional": "PBE", "state": "optimized geometry", "spacegroup": "F-43m, No. 216", "n_ef_per_ev_atom": 1.37, "magmom_total_mub_per_atom": 0.242, "raw_formation_energy_ev_per_atom": -0.05, "lattice": [[0.000, 3.583, 3.583], [3.583, 0.000, 3.583], [3.583, 3.583, 0.000]], "species": ["Ba", "Si", "Au"], "fractional_positions": [[0.000, 0.000, 0.000], [0.500, 0.500, 0.500], [0.750, 0.750, 0.750]]}

***

[8]
{"formula": "Hg2C", "functional": "PBE", "state": "optimized geometry", "spacegroup": "Imm2, No. 44", "n_ef_per_ev_atom": 0.27, "magmom_total_mub_per_atom": 0.000, "relative_energy_ev_per_fu": 2.34, "lattice": [[-1.634, 6.022, 3.327], [1.634, -6.022, 3.327], [1.634, 6.022, -3.327]], "species": ["Hg", "Hg", "Hg", "Hg", "C", "C"], "fractional_positions": [[0.000, 0.000, 0.000], [0.057, 0.296, 0.761], [0.514, 0.014, 0.500], [0.534, 0.296, 0.239], [0.329, 0.006, 0.323], [0.683, 0.006, 0.677]]}

***

> Which formula does entry 4 have?

CaAcBr